No. 1
Tm2Mg: relaxed, PBE-GGA.

The calculated total energy comes out at -3.438 eV/atom. The volume is 170 Å³/cell. The calculation puts the spin magnetization at 0.063 μB/atom. For the calculated density, the calculation gives 7.06 g/cm³.

The space group is P-6m2 (No. 187) and the conventional cell measures 3.4270, 3.4270 and 16.7595 Å, with angles of 90.00, 90.00 and 120.00 degrees. The distinct sites, in fractional coordinates, are Tm at (0.0000, 0.0000, 0.0000), Tm at (0.0000, 0.0000, 0.3332), Tm at (0.6667, 0.3333, 0.5000) and Mg at (0.6667, 0.3333, 0.1666).



No. 2
TmMg: relaxed, PBE-GGA.

The calculated total energy comes out at -1.724 eV/atom. The volume is 175 Å³/cell. The calculation puts the spin magnetization at 0.013 μB/atom. For the calculated density, the calculation gives 3.68 g/cm³.

The space group is P6_3mc (No. 186) and the conventional cell measures 4.9821, 4.9821 and 8.1232 Å, with angles of 90.00, 90.00 and 120.00 degrees. The distinct sites, in fractional coordinates, are Tm at (0.3333, 0.6667, 0.0000) and Mg at (0.3333, 0.6667, 0.6250).



No. 3
TmMg: relaxed, PBE-GGA.

The calculated total energy comes out at -3.003 eV/atom. The volume is 324 Å³/cell. The calculation puts the spin magnetization at 0.001 μB/atom. For the calculated density, the calculation gives 5.95 g/cm³.

The space group is P2_1/m (No. 11) and the conventional cell measures 7.033, 5.377 and 8.741 Å, with angles of 90.00, 101.63 and 90.00 degrees. The distinct sites, in fractional coordinates, are Tm at (0.030, 0.250, 0.114), Tm at (0.305, 0.750, 0.232), Tm at (0.468, 0.750, 0.879), Mg at (0.128, 0.750, 0.554), Mg at (0.193, 0.250, 0.782) and Mg at (0.353, 0.250, 0.456).



No. 4
TmMg: relaxed, PBE-GGA.

The calculated total energy comes out at -2.970 eV/atom. The volume is 109 Å³/cell. The calculation puts the spin magnetization at 0.030 μB/atom. For the calculated density, the calculation gives 5.89 g/cm³.

The space group is Pmmn (No. 59, origin choice 2) and the conventional cell measures 3.607, 5.404 and 5.592 Å, with angles of 90.00, 90.00 and 90.00 degrees. The distinct sites, in fractional coordinates, are Tm at (0.250, 0.250, 0.084) and Mg at (0.250, 0.750, 0.418).



No. 5
TmMg: relaxed, PBE-GGA.

The calculated total energy comes out at -2.563 eV/atom. The volume is 235 Å³/cell. The calculation puts the spin magnetization at 0.000 μB/atom. For the calculated density, the calculation gives 5.46 g/cm³.

The space group is Fm-3m (No. 225) and the conventional cell measures 6.170, 6.170 and 6.170 Å, with angles of 90.00, 90.00 and 90.00 degrees. The distinct sites, in fractional coordinates, are Tm at (0.000, 0.000, 0.000) and Mg at (0.000, 0.000, 0.500).



No. 6
TmMg: relaxed, PBE-GGA.

The calculated total energy comes out at -2.986 eV/atom. The volume is 214 Å³/cell. The calculation puts the spin magnetization at 0.004 μB/atom. For the calculated density, the calculation gives 6.01 g/cm³.

The space group is Pnma (No. 62) and the conventional cell measures 5.989, 5.335 and 6.682 Å, with angles of 90.00, 90.00 and 90.00 degrees. The distinct sites, in fractional coordinates, are Tm at (0.114, 0.250, 0.128) and Mg at (0.082, 0.250, 0.625).



No. 7
TmMg: relaxed, PBE-GGA.

The calculated total energy comes out at -2.979 eV/atom. The volume is 110 Å³/cell. The calculation puts the spin magnetization at 0.002 μB/atom. For the calculated density, the calculation gives 5.82 g/cm³.

The space group is P6_3/mmc (No. 194) and the conventional cell measures 3.4605, 3.4605 and 10.6309 Å, with angles of 90.00, 90.00 and 120.00 degrees. The distinct sites, in fractional coordinates, are Tm at (0.3333, 0.6667, 0.2500) and Mg at (0.0000, 0.0000, 0.0000).



No. 8
TmMg: relaxed, PBE-GGA.

The calculated total energy comes out at -2.969 eV/atom. The volume is 428 Å³/cell. The calculation puts the spin magnetization at 0.003 μB/atom. For the calculated density, the calculation gives 6.00 g/cm³.

The space group is Pmmn (No. 59, origin choice 2) and the conventional cell measures 5.352, 13.389 and 5.971 Å, with angles of 90.00, 90.00 and 90.00 degrees. The distinct sites, in fractional coordinates, are Tm at (0.250, 0.004, 0.166), Tm at (0.250, 0.123, 0.651), Mg at (0.250, 0.250, 0.153), Mg at (0.250, 0.627, 0.672) and Mg at (0.250, 0.750, 0.150).



No. 9
TmMg: relaxed, PBE-GGA.

The calculated total energy comes out at -3.046 eV/atom. The volume is 214 Å³/cell. The calculation puts the spin magnetization at 0.001 μB/atom. For the calculated density, the calculation gives 5.99 g/cm³.

The space group is Pmmn (No. 59, origin choice 2) and the conventional cell measures 3.559, 5.340 and 11.272 Å, with angles of 90.00, 90.00 and 90.00 degrees. The distinct sites, in fractional coordinates, are Tm at (0.250, 0.250, 0.038), Tm at (0.250, 0.750, 0.231), Mg at (0.250, 0.250, 0.517) and Mg at (0.250, 0.750, 0.709).



No. 10
Tm2Mg: relaxed, PBE-GGA.

The calculated total energy comes out at -3.437 eV/atom. The volume is 170 Å³/cell. The calculation puts the spin magnetization at 0.175 μB/atom. For the calculated density, the calculation gives 7.06 g/cm³.

The space group is P6_3/mmc (No. 194) and the conventional cell measures 3.4184, 3.4184 and 16.8456 Å, with angles of 90.00, 90.00 and 120.00 degrees. The distinct sites, in fractional coordinates, are Tm at (0.3333, 0.6667, 0.0833) and Mg at (0.3333, 0.6667, 0.7500).



No. 11
TmMg: relaxed, PBE-GGA.

The calculated total energy comes out at -2.935 eV/atom. The volume is 218 Å³/cell. The calculation puts the spin magnetization at 0.051 μB/atom. For the calculated density, the calculation gives 5.89 g/cm³.

The space group is P-6m2 (No. 187) and the conventional cell measures 6.7983, 6.7983 and 5.4480 Å, with angles of 90.00, 90.00 and 120.00 degrees. The distinct sites, in fractional coordinates, are Tm at (0.0000, 0.0000, 0.0000), Tm at (0.3314, 0.1657, 0.5000), Mg at (0.3333, 0.6667, 0.5000) and Mg at (0.5040, 0.0080, 0.0000).



No. 12
TmMg: relaxed, PBE-GGA.

The calculated total energy comes out at -2.967 eV/atom. The volume is 217 Å³/cell. The calculation puts the spin magnetization at 0.003 μB/atom. For the calculated density, the calculation gives 5.93 g/cm³.

The space group is Pmm2 (No. 25) and the conventional cell measures 5.405, 6.806 and 5.886 Å, with angles of 90.00, 90.00 and 90.00 degrees. The distinct sites, in fractional coordinates, are Tm at (0.000, 0.000, 0.000), Tm at (0.000, 0.249, 0.508), Tm at (0.500, 0.000, 0.347), Mg at (0.000, 0.500, 0.013), Mg at (0.500, 0.253, 0.839) and Mg at (0.500, 0.500, 0.333).



No. 13
TmMg: relaxed, PBE-GGA.

The calculated total energy comes out at -3.018 eV/atom. The volume is 320 Å³/cell. The calculation puts the spin magnetization at 0.000 μB/atom. For the calculated density, the calculation gives 6.01 g/cm³.

The space group is P2_1/m (No. 11) and the conventional cell measures 6.682, 5.262 and 9.114 Å, with angles of 90.00, 90.19 and 90.00 degrees. The distinct sites, in fractional coordinates, are Tm at (0.007, 0.250, 0.089), Tm at (0.248, 0.250, 0.749), Tm at (0.251, 0.750, 0.250), Mg at (0.008, 0.750, 0.573), Mg at (0.492, 0.250, 0.413) and Mg at (0.492, 0.750, 0.921).



No. 14
TmMg: relaxed, PBE-GGA.

The calculated total energy comes out at -2.984 eV/atom. The volume is 321 Å³/cell. The calculation puts the spin magnetization at 0.001 μB/atom. For the calculated density, the calculation gives 5.99 g/cm³.

The space group is Pmc2_1 (No. 26) and the conventional cell measures 5.461, 10.153 and 5.798 Å, with angles of 90.00, 90.00 and 90.00 degrees. The distinct sites, in fractional coordinates, are Tm at (0.000, 0.076, 0.000), Tm at (0.000, 0.260, 0.514), Tm at (0.500, 0.255, 0.166), Mg at (0.000, 0.417, 0.003), Mg at (0.500, 0.085, 0.659) and Mg at (0.500, 0.418, 0.677).



No. 15
Tm3Mg2: relaxed, PBE-GGA.

The calculated total energy comes out at -3.250 eV/atom. The volume is 814 Å³/cell. The calculation puts the spin magnetization at 0.010 μB/atom. For the calculated density, the calculation gives 6.80 g/cm³.

The space group is R-3c (No. 167, hexagonal axes) and the conventional cell measures 9.2068, 9.2068 and 11.0907 Å, with angles of 90.00, 90.00 and 120.00 degrees. The distinct sites, in fractional coordinates, are Tm at (0.0000, 0.3262, 0.2500) and Mg at (0.0000, 0.0000, 0.1246).



No. 16
TmMg: relaxed, PBE-GGA.

The calculated total energy comes out at -2.926 eV/atom. The volume is 109 Å³/cell. The calculation puts the spin magnetization at 0.011 μB/atom. For the calculated density, the calculation gives 5.90 g/cm³.

The space group is P6_3/mmc (No. 194) and the conventional cell measures 3.3571, 3.3571 and 11.1390 Å, with angles of 90.00, 90.00 and 120.00 degrees. The distinct sites, in fractional coordinates, are Tm at (0.0000, 0.0000, 0.0000) and Mg at (0.3333, 0.6667, 0.2500).



No. 17
Tm2Mg17: relaxed, PBE-GGA.

The calculated total energy comes out at -1.841 eV/atom. The volume is 1364 Å³/cell. The calculation puts the spin magnetization at 0.001 μB/atom. For the calculated density, the calculation gives 2.74 g/cm³.

The space group is R-3m (No. 166, hexagonal axes) and the conventional cell measures 10.1701, 10.1701 and 15.2303 Å, with angles of 90.00, 90.00 and 120.00 degrees. The distinct sites, in fractional coordinates, are Tm at (0.0000, 0.0000, 0.1734), Mg at (0.0000, 0.0000, 0.4005), Mg at (0.0000, 0.3071, 0.5000), Mg at (0.0000, 0.5000, 0.0000) and Mg at (0.0091, 0.5045, 0.6518).



No. 18
TmMg: relaxed, PBE-GGA.

The calculated total energy comes out at -2.968 eV/atom. The volume is 643 Å³/cell. The calculation puts the spin magnetization at 0.000 μB/atom. For the calculated density, the calculation gives 5.99 g/cm³.

The space group is Pbcm (No. 57) and the conventional cell measures 6.719, 17.768 and 5.382 Å, with angles of 90.00, 90.00 and 90.00 degrees. The distinct sites, in fractional coordinates, are Tm at (0.118, 0.192, 0.250), Tm at (0.128, 0.523, 0.250), Tm at (0.379, 0.034, 0.250), Mg at (0.134, 0.637, 0.750), Mg at (0.374, 0.141, 0.750) and Mg at (0.378, 0.698, 0.250).



No. 19
Tm3Mg4: relaxed, PBE-GGA.

The volume is 368 Å³/cell. The calculation puts the spin magnetization at 0.000 μB/atom. For the calculated density, the calculation gives 5.45 g/cm³. Its energy above the most stable polymorph in this dataset is 0.013 eV per atom.

The space group is P6_3/m (No. 176) and the conventional cell measures 8.9626, 8.9626 and 5.2926 Å, with angles of 90.00, 90.00 and 120.00 degrees. The distinct sites, in fractional coordinates, are Tm at (0.0987, 0.4689, 0.2500), Mg at (0.0479, 0.2351, 0.7500) and Mg at (0.3333, 0.6667, 0.7500).



No. 20
TmMg: relaxed, PBE-GGA.

The calculated total energy comes out at -2.928 eV/atom. The volume is 55 Å³/cell. The calculation puts the spin magnetization at 0.004 μB/atom. For the calculated density, the calculation gives 5.88 g/cm³.

The space group is P-6m2 (No. 187) and the conventional cell measures 3.3559, 3.3559 and 5.5921 Å, with angles of 90.00, 90.00 and 120.00 degrees. The distinct sites, in fractional coordinates, are Tm at (0.0000, 0.0000, 0.0000) and Mg at (0.6667, 0.3333, 0.5000).



No. 21
TmMg: relaxed, PBE-GGA.

The calculated total energy comes out at -3.006 eV/atom. The volume is 215 Å³/cell. The calculation puts the spin magnetization at 0.003 μB/atom. For the calculated density, the calculation gives 5.97 g/cm³.

The space group is Pbcm (No. 57) and the conventional cell measures 6.715, 5.922 and 5.409 Å, with angles of 90.00, 90.00 and 90.00 degrees. The distinct sites, in fractional coordinates, are Tm at (0.134, 0.077, 0.250) and Mg at (0.371, 0.590, 0.250).



No. 22
Tm2Mg: relaxed, PBE-GGA.

The calculated total energy comes out at -1.407 eV/atom. The volume is 2389 Å³/cell. The calculation puts the spin magnetization at 0.002 μB/atom. For the calculated density, the calculation gives 2.01 g/cm³.

The space group is Fd-3m (No. 227, origin choice 2) and the conventional cell measures 13.369, 13.369 and 13.369 Å, with angles of 90.00, 90.00 and 90.00 degrees. The distinct sites, in fractional coordinates, are Tm at (0.000, 0.000, 0.000) and Mg at (0.125, 0.125, 0.125).



No. 23
TmMg: relaxed, PBE-GGA.

The calculated total energy comes out at -3.023 eV/atom. The volume is 319 Å³/cell. The calculation puts the spin magnetization at 0.003 μB/atom. For the calculated density, the calculation gives 6.03 g/cm³.

The space group is P2_1/m (No. 11) and the conventional cell measures 7.105, 5.325 and 8.614 Å, with angles of 90.00, 101.77 and 90.00 degrees. The distinct sites, in fractional coordinates, are Tm at (0.135, 0.250, 0.042), Tm at (0.203, 0.750, 0.300), Tm at (0.359, 0.750, 0.942), Mg at (0.027, 0.750, 0.623), Mg at (0.300, 0.250, 0.693) and Mg at (0.466, 0.250, 0.378).